# 1
Here is a relaxed structure of AlIn2P from Alexandria via LeMat-Bulk. Energies are from PBE.

The calculation puts the raw total energy at -3.659 eV per atom. Its distance to the lowest polymorph of the same formula is 32 meV/atom.

The structure belongs to space group Immm (No. 71); the cell edges are 3.490, 3.504 and 15.154 Å and the angles 90.00°, 90.00° and 90.00°. The inequivalent atoms are Al at (0.000, 0.000, 0.000), In at (0.000, 0.500, 0.171) and P at (0.000, 0.000, 0.500).

# 2
Here is a relaxed structure of AlIn2P from Alexandria via LeMat-Bulk. Energies are from PBE.

The calculation puts the raw total energy at -3.312 eV per atom. Its distance to the lowest polymorph of the same formula is 378 meV/atom.

The structure belongs to space group F-43m (No. 216); the cell edges are 6.998, 6.998 and 6.998 Å and the angles 90.00°, 90.00° and 90.00°. The inequivalent atoms are Al at (0.000, 0.000, 0.000), In at (0.000, 0.000, 0.500), In at (0.250, 0.250, 0.750) and P at (0.250, 0.250, 0.250).

# 3
Here is a relaxed structure of AlInP2 from Alexandria via LeMat-Bulk. Energies are from PBE.

The calculation puts the raw total energy at -4.316 eV per atom. Its distance to the lowest polymorph of the same formula is 421 meV/atom.

The structure belongs to space group P2/m (No. 10); the cell edges are 4.821, 3.692 and 4.904 Å and the angles 90.00°, 105.51° and 90.00°. The inequivalent atoms are Al at (0.000, 0.000, 0.000), In at (0.500, 0.000, 0.500) and P at (0.280, 0.500, 0.861).

# 4
Here is a relaxed structure of AlInP2 from Alexandria via LeMat-Bulk. Energies are from PBE.

The calculation puts the raw total energy at -4.087 eV per atom. Its distance to the lowest polymorph of the same formula is 649 meV/atom.

The structure belongs to space group P4mm (No. 99); the cell edges are 3.383, 3.383 and 6.844 Å and the angles 90.00°, 90.00° and 90.00°. The inequivalent atoms are Al at (0.000, 0.000, 0.000), In at (0.500, 0.500, 0.270), P at (0.000, 0.000, 0.646) and P at (0.500, 0.500, 0.715).

# 5
Here is a relaxed structure of AlInP2 from Alexandria via LeMat-Bulk. Energies are from PBE.

The calculation puts the raw total energy at -3.988 eV per atom. Its distance to the lowest polymorph of the same formula is 749 meV/atom.

The structure belongs to space group Fm-3m (No. 225); the cell edges are 6.587, 6.587 and 6.587 Å and the angles 90.00°, 90.00° and 90.00°. The inequivalent atoms are Al at (0.000, 0.000, 0.000), In at (0.000, 0.000, 0.500) and P at (0.250, 0.250, 0.250).

# 6
Here is a relaxed structure of AlIn2P from Alexandria via LeMat-Bulk. Energies are from PBE.

The calculation puts the raw total energy at -3.431 eV per atom. Its distance to the lowest polymorph of the same formula is 260 meV/atom.

The structure belongs to space group I-42d (No. 122); the cell edges are 6.466, 6.466 and 11.105 Å and the angles 90.00°, 90.00° and 90.00°. The inequivalent atoms are Al at (0.000, 0.000, 0.000), In at (0.227, 0.250, 0.625) and P at (0.000, 0.000, 0.500).

# 7
Here is a relaxed structure of Al2InP from Alexandria via LeMat-Bulk. Energies are from PBE.

The calculation puts the raw total energy at -3.856 eV per atom. Its distance to the lowest polymorph of the same formula is 153 meV/atom.

The structure belongs to space group I-42d (No. 122); the cell edges are 6.219, 6.219 and 10.486 Å and the angles 90.00°, 90.00° and 90.00°. The inequivalent atoms are Al at (0.200, 0.250, 0.125), In at (0.000, 0.000, 0.500) and P at (0.000, 0.000, 0.000).

# 8
Here is a relaxed structure of AlInP3 from Alexandria via LeMat-Bulk. Energies are from PBE.

The calculation puts the raw total energy at -3.963 eV per atom. Its distance to the lowest polymorph of the same formula is 0 meV/atom.

The structure belongs to space group Pm-3m (No. 221); the cell edges are 4.698, 4.698 and 4.698 Å and the angles 90.00°, 90.00° and 90.00°. The inequivalent atoms are Al at (0.000, 0.000, 0.000), In at (0.500, 0.500, 0.500) and P at (0.000, 0.000, 0.500).

# 9
Here is a relaxed structure of AlIn2P from Alexandria via LeMat-Bulk. Energies are from PBE.

The calculation puts the raw total energy at -3.348 eV per atom. Its distance to the lowest polymorph of the same formula is 343 meV/atom.

The structure belongs to space group I4/mmm (No. 139); the cell edges are 4.467, 4.467 and 8.719 Å and the angles 90.00°, 90.00° and 90.00°. The inequivalent atoms are Al at (0.000, 0.000, 0.000), In at (0.000, 0.500, 0.250) and P at (0.000, 0.000, 0.500).

# 10
Here is a relaxed structure of Al2InP from Alexandria via LeMat-Bulk. Energies are from PBE.

The calculation puts the raw total energy at -3.566 eV per atom. Its distance to the lowest polymorph of the same formula is 443 meV/atom.

The structure belongs to space group F-43m (No. 216); the cell edges are 6.720, 6.720 and 6.720 Å and the angles 90.00°, 90.00° and 90.00°. The inequivalent atoms are Al at (0.000, 0.000, 0.000), Al at (0.250, 0.250, 0.250), In at (0.250, 0.250, 0.750) and P at (0.000, 0.000, 0.500).

# 11
Here is a relaxed structure of AlInP2 from Alexandria via LeMat-Bulk. Energies are from PBE.

The calculation puts the raw total energy at -4.042 eV per atom. Its distance to the lowest polymorph of the same formula is 695 meV/atom.

The structure belongs to space group I-4m2 (No. 119); the cell edges are 3.683, 3.683 and 11.407 Å and the angles 90.00°, 90.00° and 90.00°. The inequivalent atoms are Al at (0.000, 0.000, 0.000), In at (0.000, 0.500, 0.750), P at (0.000, 0.000, 0.500) and P at (0.000, 0.500, 0.250).

# 12
Here is a relaxed structure of Al2InP from Alexandria via LeMat-Bulk. Energies are from PBE.

The calculation puts the raw total energy at -3.642 eV per atom. Its distance to the lowest polymorph of the same formula is 367 meV/atom.

The structure belongs to space group P4/mmm (No. 123); the cell edges are 4.465, 4.465 and 3.810 Å and the angles 90.00°, 90.00° and 90.00°. The inequivalent atoms are Al at (0.000, 0.500, 0.000), In at (0.000, 0.000, 0.500) and P at (0.500, 0.500, 0.500).

no.,energy of formation (meV per atom)
1,-1
2,345
3,9
4,238
5,337
6,226
7,52
8,579
9,309
10,342
11,283
12,267